DFT (PBE) results for a relaxed structure of Cs2AgSnCl6.

Geometry as extended XYZ:
```
20
Lattice="-3.3509 -1.3829 6.6123 0.4933 -7.4139 -1.3010 9.5467 -0.2041 4.7951" Properties=species:S:1:pos:R:3 pbc="T T T"
Ag -1.2368 -4.7022 2.2603
Ag 1.6149 -1.7843 8.6139
Cl -0.2600 -6.1992 0.2595
Cl -0.5212 -2.4747 0.9472
Cl -0.7869 -1.7341 7.3995
Cl 1.1656 -4.7541 3.4734
Cl 4.2574 -2.6412 3.2985
Cl 4.4775 -6.3361 2.7130
Cl 2.5962 -3.2633 6.6014
Cl 2.8165 -6.9585 6.0164
Cl 5.9079 -4.8465 5.8420
Cl 4.0165 -1.8422 9.8282
Cl 7.5946 -7.1337 8.3683
Cl 7.3330 -3.4096 9.0564
Cs -0.5269 -5.4446 6.7632
Cs 0.9040 -1.0432 4.1093
Cs 5.6761 -1.1450 6.5067
Cs 4.2498 -5.5445 9.1641
Sn -3.1588 -1.6870 6.2169
Sn 3.5368 -4.7993 4.6576
```

Properties
E_tot, eV/atom: -3.29